Computed, not measured: ZrMnV after structural relaxation at the PBE level of DFT.

Cell and atoms, written as POSCAR:
```
ZrMnV
1.0
3.590 0.000 0.000
0.000 10.316 0.000
0.000 0.000 5.232
Zr Mn V
4 4 4
Direct
0.000 0.210 0.250
0.000 0.790 0.750
0.500 0.290 0.750
0.500 0.710 0.250
0.000 0.500 0.000
0.000 0.500 0.500
0.500 0.000 0.000
0.500 0.000 0.500
0.000 0.066 0.750
0.000 0.934 0.250
0.500 0.434 0.250
0.500 0.566 0.750
```

Results
spin magnetization	0.0	μB per formula unit
symmetry	Cmcm
energy relative to the lowest polymorph listed for this composition	0.400	eV/f.u.
formation energy	-0.118	eV/f.u.



Computed, not measured: Zr2Mn3V after structural relaxation at the PBE level of DFT.

Cell and atoms, written as POSCAR:
```
Zr2Mn3V
1.0
2.559 1.478 3.984
-2.559 1.478 3.984
0.000 -2.955 3.984
Zr Mn V
2 3 1
Direct
0.125 0.125 0.125
0.875 0.875 0.875
0.000 0.500 0.500
0.500 0.000 0.500
0.500 0.500 0.000
0.500 0.500 0.500
```

Results
spin magnetization	2.1	μB per formula unit
symmetry	R-3m
formation energy	-1.147	eV/f.u.



Computed, not measured: ZrMnV after structural relaxation at the PBE level of DFT.

Cell and atoms, written as POSCAR:
```
ZrMnV
1.0
4.240 0.000 0.000
-2.120 3.672 0.000
0.000 0.000 3.011
Zr Mn V
1 1 1
Direct
0.000 0.000 0.000
0.667 0.333 0.348
0.333 0.667 0.602
```

Results
spin magnetization	0.1	μB per formula unit
symmetry	P3m1
energy relative to the lowest polymorph listed for this composition	0.907	eV/f.u.
formation energy	0.389	eV/f.u.



Computed, not measured: ZrMnV2 after structural relaxation at the PBE level of DFT.

Cell and atoms, written as POSCAR:
```
ZrMnV2
1.0
4.960 0.000 0.000
0.000 6.879 0.000
0.000 0.000 3.831
Zr Mn V
2 2 4
Direct
0.000 0.000 0.000
0.500 0.500 0.000
0.000 0.500 0.000
0.500 0.000 0.000
0.000 0.311 0.500
0.000 0.689 0.500
0.500 0.189 0.500
0.500 0.811 0.500
```

Results
spin magnetization	0.0	μB per formula unit
symmetry	Cmmm
energy relative to the lowest polymorph listed for this composition	1.968	eV/f.u.
formation energy	2.048	eV/f.u.



Computed, not measured: Zr2Mn2V after structural relaxation at the PBE level of DFT.

Cell and atoms, written as POSCAR:
```
Zr2Mn2V
1.0
6.119 0.000 0.000
0.000 6.119 0.000
0.000 0.000 4.399
Zr Mn V
4 4 2
Direct
0.182 0.318 0.000
0.318 0.818 0.000
0.682 0.182 0.000
0.818 0.682 0.000
0.125 0.625 0.500
0.375 0.125 0.500
0.625 0.875 0.500
0.875 0.375 0.500
0.000 0.000 0.500
0.500 0.500 0.500
```

Results
spin magnetization	0.0	μB per formula unit
symmetry	P4/mbm
formation energy	0.144	eV/f.u.



Computed, not measured: ZrMn2V2 after structural relaxation at the PBE level of DFT.

Cell and atoms, written as POSCAR:
```
ZrMn2V2
1.0
3.995 0.000 0.000
0.000 3.995 0.000
0.000 0.000 9.425
Zr Mn V
2 4 4
Direct
0.000 0.000 0.000
0.500 0.500 0.500
0.000 0.500 0.250
0.000 0.500 0.750
0.500 0.000 0.250
0.500 0.000 0.750
0.000 0.000 0.372
0.000 0.000 0.628
0.500 0.500 0.128
0.500 0.500 0.872
```

Results
spin magnetization	0.9	μB per formula unit
symmetry	I4/mmm
energy relative to the lowest polymorph listed for this composition	0.786	eV/f.u.
formation energy	0.970	eV/f.u.